## A
TiNbIn: relaxed, GGA-PBE.

Results
**Magnetic moment**: 0.0 Bohr magnetons per cell

abc: 5.6168 5.6168 6.4304
angles: 106.62 106.62 36.34
Last column: nearest neighbours and their distance in Å.
Atoms (fractional coordinates):
Ti1 0.0082 0.0082 0.2250  4 Nb 2.77-2.82, 1 Ti 2.85, 4 In 3.00
Ti2 0.9918 0.9918 0.7750  4 Nb 2.77-2.82, 1 Ti 2.85, 4 In 3.00
Nb1 0.3385 0.3385 0.9270  4 Ti 2.77-2.82, 2 Nb 2.93, 3 In 2.97-3.10
Nb2 0.6615 0.6615 0.0730  4 Ti 2.77-2.82, 2 Nb 2.93, 3 In 2.97-3.10
In1 0.3387 0.3387 0.4086  3 Nb 2.97-3.10, 4 Ti 3.00, 3 In 3.06-3.29
In2 0.6613 0.6613 0.5914  3 Nb 2.97-3.10, 4 Ti 3.00, 3 In 3.06-3.29

***

## B
TiNbIn: relaxed, GGA-PBE.

Results
**Magnetic moment**: 0.0 Bohr magnetons per cell

abc: 3.0745 3.0745 7.1759
angles: 90.00 90.00 120.00
Last column: nearest neighbours and their distance in Å.
Atoms (fractional coordinates):
Ti1 0.0000 0.0000 0.0000  3 Nb 2.85, 3 In 3.02, 6 Ti 3.07
Nb1 0.3333 0.6667 0.6887  3 Ti 2.85, 3 In 3.07, 6 Nb 3.07
In1 0.6667 0.3333 0.3404  3 Ti 3.02, 3 Nb 3.07, 6 In 3.07

***

Quick one: least stable of them? B

***

## A
Ti6NbIn3: relaxed, GGA-PBE.

Results
**Magnetic moment**: 3.5 Bohr magnetons per cell

abc: 6.9505 6.9505 6.9505
angles: 60.00 60.00 60.00
Last column: nearest neighbours and their distance in Å.
Atoms (fractional coordinates):
Ti1 0.2405 0.2405 0.7595  1 Nb 2.36, 1 In 2.55
Ti2 0.2405 0.7595 0.2405  1 Nb 2.36, 1 In 2.55
Ti3 0.2405 0.7595 0.7595  1 Nb 2.36, 1 In 2.55
Ti4 0.7595 0.2405 0.2405  1 Nb 2.36, 1 In 2.55
Ti5 0.7595 0.2405 0.7595  1 Nb 2.36, 1 In 2.55
Ti6 0.7595 0.7595 0.2405  1 Nb 2.36, 1 In 2.55
Nb1 0.0000 0.0000 0.0000  6 Ti 2.36
In1 0.2500 0.2500 0.2500  12 Ti 3.48
In2 0.5000 0.5000 0.5000  6 Ti 2.55
In3 0.7500 0.7500 0.7500  12 Ti 3.48

***

## B
Ti6NbIn3: relaxed, GGA-PBE.

Results
**Magnetic moment**: 3.7 Bohr magnetons per cell

abc: 8.1609 4.7123 10.0500
angles: 90.00 106.07 90.00
Last column: nearest neighbours and their distance in Å.
Atoms (fractional coordinates):
Ti1 0.0425 0.2500 0.3870  1 Nb 2.75, 4 In 2.81-2.88, 3 Ti 2.85-2.98
Ti2 0.1257 0.7500 0.1887  3 Nb 2.78-2.82, 2 Ti 2.85-2.94, 4 In 2.94-2.99
Ti3 0.1565 0.2500 0.6956  8 Ti 2.80-2.98
Ti4 0.2288 0.2500 0.9847  3 Nb 2.77-2.86, 2 Ti 2.80-2.94, 4 In 2.93-2.99
Ti5 0.3382 0.7500 0.7961  1 Nb 2.79, 2 Ti 2.82, 5 In 2.87-2.96
Ti6 0.4491 0.2500 0.5946  1 Ti 2.84, 7 In 2.93-2.98
Ti7 0.5509 0.7500 0.4054  1 Ti 2.84, 7 In 2.93-2.98
Ti8 0.6618 0.2500 0.2039  1 Nb 2.79, 2 Ti 2.82, 5 In 2.87-2.96
Ti9 0.7712 0.7500 0.0153  3 Nb 2.77-2.86, 2 Ti 2.80-2.94, 4 In 2.93-2.99
Ti10 0.8435 0.7500 0.3044  8 Ti 2.80-2.98
Ti11 0.8743 0.2500 0.8113  3 Nb 2.78-2.82, 2 Ti 2.85-2.94, 4 In 2.94-2.99
Ti12 0.9575 0.7500 0.6130  1 Nb 2.75, 4 In 2.81-2.88, 3 Ti 2.85-2.98
Nb1 0.0526 0.7500 0.8973  8 Ti 2.75-2.86
Nb2 0.9474 0.2500 0.1027  8 Ti 2.75-2.86
In1 0.2346 0.7500 0.4986  8 Ti 2.81-2.99
In2 0.3408 0.2500 0.2878  8 Ti 2.88-2.96
In3 0.4479 0.7500 0.1011  8 Ti 2.94-2.99, 2 In 3.28
In4 0.5521 0.2500 0.8989  8 Ti 2.94-2.99, 2 In 3.28
In5 0.6592 0.7500 0.7122  8 Ti 2.88-2.96
In6 0.7654 0.2500 0.5014  8 Ti 2.81-2.99

***

Quick one: least stable of them? A

***

## A
TiNb2In2: relaxed, GGA-PBE.

Results
**Magnetic moment**: 0.0 Bohr magnetons per cell

abc: 8.3764 8.3764 2.9682
angles: 90.00 90.00 90.00
Last column: nearest neighbours and their distance in Å.
Atoms (fractional coordinates):
Ti1 0.0000 0.0000 0.0000  2 Ti 2.97
Ti2 0.5000 0.5000 0.0000  2 Ti 2.97
Nb1 0.1131 0.3869 0.0000  3 Nb 2.68-2.97, 6 In 2.84-2.95
Nb2 0.3869 0.8869 0.0000  3 Nb 2.68-2.97, 6 In 2.84-2.95
Nb3 0.6131 0.1131 0.0000  3 Nb 2.68-2.97, 6 In 2.84-2.95
Nb4 0.8869 0.6131 0.0000  3 Nb 2.68-2.97, 6 In 2.84-2.95
In1 0.1830 0.6830 0.5000  6 Nb 2.84-2.95, 2 In 2.97
In2 0.3170 0.1830 0.5000  6 Nb 2.84-2.95, 2 In 2.97
In3 0.6830 0.8170 0.5000  6 Nb 2.84-2.95, 2 In 2.97
In4 0.8170 0.3170 0.5000  6 Nb 2.84-2.95, 2 In 2.97

***

## B
TiNb2In2: relaxed, GGA-PBE.

Results
**Magnetic moment**: 0.0 Bohr magnetons per cell

abc: 5.5909 5.5909 5.5909
angles: 50.84 50.84 50.84
Last column: nearest neighbours and their distance in Å.
Atoms (fractional coordinates):
Ti1 0.0000 0.0000 0.0000  2 Nb 2.79, 6 In 2.94
Nb1 0.1915 0.1915 0.1915  1 Ti 2.79, 3 Nb 2.86, 4 In 2.97-3.05
Nb2 0.8085 0.8085 0.8085  1 Ti 2.79, 3 Nb 2.86, 4 In 2.97-3.05
In1 0.4008 0.4008 0.4008  1 In 2.89, 3 Ti 2.94, 4 Nb 2.97-3.05
In2 0.5992 0.5992 0.5992  1 In 2.89, 3 Ti 2.94, 4 Nb 2.97-3.05

***

Quick one: least stable of them? A

***

## A
Nb2TlIn2: relaxed, GGA-PBE.

Results
**Magnetic moment**: 0.0 Bohr magnetons per cell

abc: 8.7957 8.7957 3.0048
angles: 90.00 90.00 90.00
Last column: nearest neighbours and their distance in Å.
Atoms (fractional coordinates):
Nb1 0.1070 0.3930 0.0000  1 Nb 2.66
Nb2 0.3930 0.8930 0.0000  1 Nb 2.66
Nb3 0.6070 0.1070 0.0000  1 Nb 2.66
Nb4 0.8930 0.6070 0.0000  1 Nb 2.66
Tl1 0.0000 0.0000 0.5000  2 Tl 3.00, 4 In 3.22
Tl2 0.5000 0.5000 0.5000  2 Tl 3.00, 4 In 3.22
In1 0.1831 0.6831 0.5000  2 In 3.00, 6 Nb 3.01-3.04, 2 Tl 3.22
In2 0.3169 0.1831 0.5000  2 In 3.00, 6 Nb 3.01-3.04, 2 Tl 3.22
In3 0.6831 0.8169 0.5000  2 In 3.00, 6 Nb 3.01-3.04, 2 Tl 3.22
In4 0.8169 0.3169 0.5000  2 In 3.00, 6 Nb 3.01-3.04, 2 Tl 3.22

***

## B
Nb2TlIn2: relaxed, GGA-PBE.

Results
**Magnetic moment**: 0.0 Bohr magnetons per cell

abc: 7.5049 7.5049 3.9609
angles: 90.00 90.00 90.00
Last column: nearest neighbours and their distance in Å.
Atoms (fractional coordinates):
Nb1 0.1243 0.3757 0.0000  1 Nb 2.64, 2 In 2.94
Nb2 0.3757 0.8757 0.0000  1 Nb 2.64, 2 In 2.94
Nb3 0.6243 0.1243 0.0000  1 Nb 2.64, 2 In 2.94
Nb4 0.8757 0.6243 0.0000  1 Nb 2.64, 2 In 2.94
Tl1 0.0000 0.0000 0.0000  4 Nb 2.97
Tl2 0.5000 0.5000 0.0000  4 Nb 2.97
In1 0.1713 0.6713 0.5000  6 Nb 2.94-2.99
In2 0.3287 0.1713 0.5000  6 Nb 2.94-2.99
In3 0.6713 0.8287 0.5000  6 Nb 2.94-2.99
In4 0.8287 0.3287 0.5000  6 Nb 2.94-2.99

***

Quick one: least stable of them? A

***

## A
Nb2TlIn: relaxed, GGA-PBE.

Results
**Magnetic moment**: 0.0 Bohr magnetons per cell

abc: 6.2106 6.2106 6.2106
angles: 102.98 102.98 123.42
Last column: nearest neighbours and their distance in Å.
Atoms (fractional coordinates):
Nb1 0.1237 0.6250 0.9987  2 In 2.82, 2 Tl 2.84, 2 Nb 2.94
Nb2 0.3750 0.3737 0.4987  2 In 2.82, 2 Tl 2.84, 2 Nb 2.94
Nb3 0.6263 0.1250 0.0013  2 In 2.82, 2 Tl 2.84, 2 Nb 2.94
Nb4 0.8750 0.8763 0.5013  2 In 2.82, 2 Tl 2.84, 2 Nb 2.94
Tl1 0.2500 0.7500 0.5000  4 Nb 2.84, 2 In 2.94
Tl2 0.5000 0.5000 0.0000  4 Nb 2.84, 2 In 2.94
In1 0.0000 0.0000 0.0000  4 Nb 2.82, 2 Tl 2.94
In2 0.7500 0.2500 0.5000  4 Nb 2.82, 2 Tl 2.94

***

## B
Nb2TlIn: relaxed, GGA-PBE.

Results
**Magnetic moment**: 0.0 Bohr magnetons per cell

abc: 4.8436 4.8436 4.8436
angles: 60.00 60.00 60.00
Last column: nearest neighbours and their distance in Å.
Atoms (fractional coordinates):
Nb1 0.2500 0.2500 0.2500  4 Tl 2.97, 4 In 2.97
Nb2 0.7500 0.7500 0.7500  4 Tl 2.97, 4 In 2.97
Tl1 0.0000 0.0000 0.0000  8 Nb 2.97
In1 0.5000 0.5000 0.5000  8 Nb 2.97

***

Quick one: least stable of them? A

***

## A
NbTlIn2: relaxed, GGA-PBE.

Results
**Magnetic moment**: 2.1 Bohr magnetons per cell

abc: 5.1686 5.1686 5.1686
angles: 60.00 60.00 60.00
Last column: nearest neighbours and their distance in Å.
Atoms (fractional coordinates):
Nb1 0.0000 0.0000 0.0000  8 In 3.17
Tl1 0.5000 0.5000 0.5000  8 In 3.17
In1 0.2500 0.2500 0.2500  4 Tl 3.17, 4 Nb 3.17
In2 0.7500 0.7500 0.7500  4 Nb 3.17, 4 Tl 3.17

***

## B
NbTlIn2: relaxed, GGA-PBE.

Results
**Magnetic moment**: 0.0 Bohr magnetons per cell

abc: 12.2341 12.2341 12.2341
angles: 14.68 14.68 14.68
Last column: nearest neighbours and their distance in Å.
Atoms (fractional coordinates):
Nb1 0.0000 0.0000 0.0000  2 In 2.91, 6 Nb 3.13
Tl1 0.5000 0.5000 0.5000  6 Tl 3.13
In1 0.0801 0.0801 0.0801  1 Nb 2.91, 6 In 3.13
In2 0.9199 0.9199 0.9199  1 Nb 2.91, 6 In 3.13

***

Quick one: least stable of them? A

***

## A
UNb2In: relaxed, GGA-PBE.

Results
**Magnetic moment**: 0.6 Bohr magnetons per cell

abc: 4.6830 4.6830 3.6286
angles: 90.00 90.00 90.00
Last column: nearest neighbours and their distance in Å.
Atoms (fractional coordinates):
U1 0.0000 0.0000 0.0000  8 Nb 2.96, 4 In 3.31
Nb1 0.0000 0.5000 0.5000  4 U 2.96, 4 In 2.96, 4 Nb 3.31
Nb2 0.5000 0.0000 0.5000  4 U 2.96, 4 In 2.96, 4 Nb 3.31
In1 0.5000 0.5000 0.0000  8 Nb 2.96, 4 U 3.31

***

## B
UNb2In: relaxed, GGA-PBE.

Results
**Magnetic moment**: 0.5 Bohr magnetons per cell

abc: 8.8642 8.8642 8.8642
angles: 21.63 21.63 21.63
Last column: nearest neighbours and their distance in Å.
Atoms (fractional coordinates):
U1 0.0000 0.0000 0.0000  6 Nb 2.76
Nb1 0.2569 0.2569 0.2569  3 U 2.76, 3 In 3.03
Nb2 0.7431 0.7431 0.7431  3 U 2.76, 3 In 3.03
In1 0.5000 0.5000 0.5000  6 Nb 3.03, 6 In 3.33

***

Quick one: least stable of them? B

***

## A
NbVIn: relaxed, GGA-PBE.

Results
**Magnetic moment**: 0.0 Bohr magnetons per cell

abc: 5.3499 5.3499 5.3499
angles: 143.39 143.39 52.74
Last column: nearest neighbours and their distance in Å.
Atoms (fractional coordinates):
Nb1 0.0000 0.0000 0.0000  4 V 2.66, 1 In 2.95
V1 0.6255 0.6255 0.0000  4 Nb 2.66, 4 In 2.95
In1 0.3074 0.3074 0.0000  5 Nb 2.95-3.01, 5 V 2.95-3.05

***

## B
NbVIn: relaxed, GGA-PBE.

Results
**Magnetic moment**: 0.0 Bohr magnetons per cell

abc: 13.3845 13.3845 13.3845
angles: 13.57 13.57 13.57
Last column: nearest neighbours and their distance in Å.
Atoms (fractional coordinates):
Nb1 0.0978 0.0978 0.0978  3 V 2.62
Nb2 0.9022 0.9022 0.9022  3 V 2.62
V1 0.1883 0.1883 0.1883  3 V 2.51, 3 Nb 2.62
V2 0.8117 0.8117 0.8117  3 V 2.51, 3 Nb 2.62
In1 0.3687 0.3687 0.3687  3 Nb 3.08, 9 In 3.16-3.35
In2 0.6313 0.6313 0.6313  3 Nb 3.08, 9 In 3.16-3.35

***

Quick one: least stable of them? B